This record from the Alexandria database describes crystalline RbHoVO4 at its relaxed geometry. The functional is PBE with a Hubbard U.

Unit cell a=5.931 b=5.941 c=7.688 alpha=90.00 beta=108.37 gamma=90.00
Positions (direct):
Rb 0.284 0.250 0.057
Rb 0.716 0.750 0.943
O 0.951 0.027 0.665
O 0.487 0.750 0.572
O 0.534 0.250 0.794
O 0.951 0.473 0.665
O 0.049 0.527 0.335
O 0.049 0.973 0.335
O 0.466 0.750 0.206
O 0.513 0.250 0.428
Ho 0.821 0.750 0.461
Ho 0.179 0.250 0.539
V 0.715 0.250 0.648
V 0.285 0.750 0.352

N(E_F), states/eV per atom: 0.000
Crystal system: monoclinic
Space group: P2_1/m

***

This record from the Alexandria database describes crystalline RbHoV2O6 at its relaxed geometry. The functional is PBE with a Hubbard U.

Unit cell a=7.404 b=7.404 c=6.064 alpha=100.39 beta=100.39 gamma=85.98
Positions (direct):
O 0.460 0.322 0.882
O 0.154 0.173 0.543
O 0.827 0.846 0.957
O 0.609 0.101 0.262
O 0.846 0.827 0.457
O 0.391 0.899 0.738
O 0.540 0.678 0.118
O 0.899 0.391 0.238
O 0.678 0.540 0.618
O 0.101 0.609 0.762
O 0.322 0.460 0.382
O 0.173 0.154 0.043
V 0.873 0.693 0.691
V 0.307 0.127 0.809
V 0.127 0.307 0.309
V 0.693 0.873 0.191
Rb 0.819 0.181 0.750
Rb 0.181 0.819 0.250
Ho 0.403 0.597 0.750
Ho 0.597 0.403 0.250

Crystal system: monoclinic
Space group: C2/c

***

This record from the Alexandria database describes crystalline Rb4Ho3VO8 at its relaxed geometry. The functional is PBE with a Hubbard U.

Unit cell a=6.803 b=7.621 c=6.863 alpha=116.80 beta=119.71 gamma=90.00
Positions (direct):
O 0.211 0.668 0.956
O 0.789 0.332 0.044
O 0.724 0.675 0.448
O 0.256 0.332 0.044
O 0.276 0.325 0.552
O 0.774 0.322 0.549
O 0.226 0.678 0.451
O 0.744 0.668 0.956
Rb 0.000 0.000 0.000
Rb 0.500 0.000 0.000
Rb 0.000 0.000 0.500
Rb 0.500 0.000 0.500
Ho 0.000 0.500 0.500
Ho 0.500 0.500 0.500
Ho 0.500 0.500 0.000
V 0.000 0.500 0.000

N(E_F), states/eV per atom: 0.000
Crystal system: monoclinic
Space group: C2/m

***

This record from the Alexandria database describes crystalline RbHoV2O8 at its relaxed geometry. The functional is PBE with a Hubbard U.

Unit cell a=5.925 b=5.925 c=8.035 alpha=90.00 beta=90.00 gamma=120.00
Positions (direct):
Rb 0.000 0.000 0.000
O 0.333 0.667 0.953
O 0.830 0.656 0.329
O 0.174 0.830 0.671
O 0.656 0.826 0.671
O 0.170 0.344 0.671
O 0.344 0.174 0.329
O 0.826 0.170 0.329
O 0.667 0.333 0.047
V 0.667 0.333 0.260
V 0.333 0.667 0.740
Ho 0.000 0.000 0.500

N(E_F), states/eV per atom: 0.878
Crystal system: trigonal
Space group: P-3

***

This record from the Alexandria database describes crystalline Rb2HoW3O12 at its relaxed geometry. The functional is PBE with a Hubbard U.

Unit cell a=7.628 b=7.628 c=7.628 alpha=58.96 beta=58.96 gamma=58.96
Positions (direct):
O 0.699 0.699 0.067
O 0.076 0.647 0.076
O 0.647 0.076 0.076
O 0.924 0.924 0.353
O 0.301 0.933 0.301
O 0.353 0.924 0.924
O 0.076 0.076 0.647
O 0.067 0.699 0.699
O 0.933 0.301 0.301
O 0.924 0.353 0.924
O 0.699 0.067 0.699
O 0.301 0.301 0.933
Rb 0.366 0.366 0.366
Rb 0.634 0.634 0.634
Ho 0.000 0.000 0.000
W 0.000 0.500 0.000
W 0.000 0.000 0.500
W 0.500 0.000 0.000

N(E_F), states/eV per atom: 0.628
Crystal system: trigonal
Space group: R-3m

***

This record from the Alexandria database describes crystalline Rb2HoWO6 at its relaxed geometry. The functional is PBE with a Hubbard U.

Unit cell a=5.872 b=6.594 c=6.594 alpha=120.00 beta=90.00 gamma=90.00
Positions (direct):
O 0.209 0.866 0.134
O 0.209 0.267 0.134
O 0.791 0.134 0.267
O 0.209 0.866 0.733
O 0.791 0.134 0.866
O 0.791 0.733 0.866
W 0.000 0.000 0.000
Ho 0.500 0.000 0.000
Rb 0.102 0.333 0.667
Rb 0.898 0.667 0.333

N(E_F), states/eV per atom: 0.172
Crystal system: trigonal
Space group: P-3m1

***

This record from the Alexandria database describes crystalline RbHoW2O8 at its relaxed geometry. The functional is PBE with a Hubbard U.

Unit cell a=7.673 b=7.673 c=7.488 alpha=62.21 beta=62.21 gamma=88.10
Positions (direct):
O 0.957 0.766 0.200
O 0.624 0.751 0.561
O 0.376 0.249 0.439
O 0.404 0.625 0.039
O 0.054 0.356 0.379
O 0.234 0.043 0.300
O 0.644 0.946 0.121
O 0.375 0.596 0.461
O 0.043 0.234 0.800
O 0.766 0.957 0.700
O 0.596 0.375 0.961
O 0.751 0.624 0.061
O 0.625 0.404 0.539
O 0.356 0.054 0.879
O 0.249 0.376 0.939
O 0.946 0.644 0.621
Ho 0.777 0.223 0.750
Ho 0.223 0.777 0.250
W 0.310 0.300 0.713
W 0.690 0.700 0.287
W 0.700 0.690 0.787
W 0.300 0.310 0.213
Rb 0.796 0.204 0.250
Rb 0.204 0.796 0.750

N(E_F), states/eV per atom: 0.000
Crystal system: monoclinic
Space group: C2/c

***

no.,electronic total energy (eV per formula unit)
1,-50.0
2,-74.0
3,-103.7
4,-83.9
5,-126.8
6,-64.2
7,-88.8